A) Below is crystalline LaSnGe3 at its relaxed geometry, with properties calculated at the PBE level.

Computed properties:
Its symmetry is Pm-3m. The total magnetic moment comes out at 0.000 μB/f.u.

Lattice parameters (Å, degrees): 5.6082 5.6082 5.6082 90.00 90.00 90.00
With the nearest neighbours (Å) after each atom.
Fractional coordinates of all 5 atoms:
La 0.0000 0.0000 0.0000  6 Ge 2.80
Sn 0.5000 0.5000 0.5000  12 Ge 3.97
Ge 0.0000 0.0000 0.5000  2 La 2.80
Ge 0.0000 0.5000 0.0000  2 La 2.80
Ge 0.5000 0.0000 0.0000  2 La 2.80

---

B) Below is crystalline LaSnGe3 at its relaxed geometry, with properties calculated at the PBE level.

Computed properties:
Its symmetry is Pm-3m. The total magnetic moment comes out at 0.000 μB/f.u.

Lattice parameters (Å, degrees): 5.2336 5.2336 5.2336 90.00 90.00 90.00
With the nearest neighbours (Å) after each atom.
Fractional coordinates of all 5 atoms:
La 0.0000 0.0000 0.0000  12 Ge 3.70
Sn 0.5000 0.5000 0.5000  6 Ge 2.62
Ge 0.0000 0.5000 0.5000  2 Sn 2.62
Ge 0.5000 0.0000 0.5000  2 Sn 2.62
Ge 0.5000 0.5000 0.0000  2 Sn 2.62

---

In order of decreasing stability: B), A).

---

A) Below is crystalline La4SnGe at its relaxed geometry, with properties calculated at the PBE level.

Computed properties:
Its symmetry is P2_1/m. The total magnetic moment comes out at 0.073 μB/f.u.

Lattice parameters (Å, degrees): 5.9539 7.0305 9.1110 90.00 100.47 90.00
With the nearest neighbours (Å) after each atom.
Fractional coordinates of all 12 atoms:
La 0.1647 0.2500 0.0501  2 Ge 3.00-3.22, 1 Sn 3.30
La 0.2073 0.7500 0.3731  1 Ge 3.18, 4 Sn 3.48-3.55
La 0.3244 0.5252 0.7439  2 Ge 3.13-3.20, 1 La 3.16
La 0.3244 0.9748 0.7439  2 Ge 3.13-3.20, 1 La 3.16
La 0.6756 0.0252 0.2561  2 Ge 3.13-3.20, 1 La 3.16
La 0.6756 0.4748 0.2561  2 Ge 3.13-3.20, 1 La 3.16
La 0.7927 0.2500 0.6269  1 Ge 3.18, 4 Sn 3.48-3.55
La 0.8353 0.7500 0.9499  2 Ge 3.00-3.22, 1 Sn 3.30
Sn 0.2279 0.2500 0.4180  9 La 3.30-3.63
Sn 0.7721 0.7500 0.5820  9 La 3.30-3.63
Ge 0.3446 0.7500 0.0514  7 La 3.00-3.22
Ge 0.6554 0.2500 0.9486  7 La 3.00-3.22

---

B) Below is crystalline La4SnGe at its relaxed geometry, with properties calculated at the PBE level.

Computed properties:
Its symmetry is C2/m. The total magnetic moment comes out at 0.003 μB/f.u.

Lattice parameters (Å, degrees): 5.2605 5.2605 9.2329 106.60 106.60 60.12
With the nearest neighbours (Å) after each atom.
Fractional coordinates of all 6 atoms:
La 0.1191 0.1191 0.3585  1 Ge 3.12, 3 Sn 3.28
La 0.3713 0.3713 0.1123  3 Ge 3.19, 1 Sn 3.38
La 0.6287 0.6287 0.8877  3 Ge 3.19, 1 Sn 3.38
La 0.8809 0.8809 0.6415  1 Ge 3.12, 3 Sn 3.28
Sn 0.5000 0.5000 0.5000  8 La 3.28-3.38
Ge 0.0000 0.0000 0.0000  8 La 3.12-3.19

---

In order of decreasing stability: A), B).

---

A) Below is crystalline SrLa3Ge at its relaxed geometry, with properties calculated at the PBE level.

Computed properties:
Its symmetry is Pm-3m. The total magnetic moment comes out at 0.000 μB/f.u.

Lattice parameters (Å, degrees): 5.7347 5.7347 5.7347 90.00 90.00 90.00
With the nearest neighbours (Å) after each atom.
Fractional coordinates of all 5 atoms:
Sr 0.0000 0.0000 0.0000  6 La 2.87
La 0.0000 0.0000 0.5000  2 Sr 2.87
La 0.0000 0.5000 0.0000  2 Sr 2.87
La 0.5000 0.0000 0.0000  2 Sr 2.87
Ge 0.5000 0.5000 0.5000  12 La 4.06

---

B) Below is crystalline SrLa3Ge at its relaxed geometry, with properties calculated at the PBE level.

Computed properties:
Its symmetry is Pm-3m. The total magnetic moment comes out at 0.001 μB/f.u.

Lattice parameters (Å, degrees): 5.9622 5.9622 5.9622 90.00 90.00 90.00
With the nearest neighbours (Å) after each atom.
Fractional coordinates of all 5 atoms:
Sr 0.0000 0.0000 0.0000  12 La 4.22
La 0.0000 0.5000 0.5000  2 Ge 2.98
La 0.5000 0.0000 0.5000  2 Ge 2.98
La 0.5000 0.5000 0.0000  2 Ge 2.98
Ge 0.5000 0.5000 0.5000  6 La 2.98

---

In order of decreasing stability: B), A).

---

A) Below is crystalline SrLa2Ge2 at its relaxed geometry, with properties calculated at the PBE level.

Computed properties:
Its symmetry is P4/mbm. The total magnetic moment comes out at 0.000 μB/f.u.

Lattice parameters (Å, degrees): 8.7765 8.7765 4.0673 90.00 90.00 90.00
With the nearest neighbours (Å) after each atom.
Fractional coordinates of all 10 atoms:
Sr 0.0000 0.0000 0.0000  4 Ge 3.27
Sr 0.5000 0.5000 0.0000  4 Ge 3.27
La 0.1329 0.3671 0.5000  6 Ge 3.21-3.34, 1 La 3.30
La 0.3671 0.8671 0.5000  6 Ge 3.21-3.34, 1 La 3.30
La 0.6329 0.1329 0.5000  6 Ge 3.21-3.34, 1 La 3.30
La 0.8671 0.6329 0.5000  6 Ge 3.21-3.34, 1 La 3.30
Ge 0.1668 0.6668 0.0000  6 La 3.21-3.34, 2 Sr 3.27
Ge 0.3332 0.1668 0.0000  6 La 3.21-3.34, 2 Sr 3.27
Ge 0.6668 0.8332 0.0000  6 La 3.21-3.34, 2 Sr 3.27
Ge 0.8332 0.3332 0.0000  6 La 3.21-3.34, 2 Sr 3.27

---

B) Below is crystalline SrLa2Ge2 at its relaxed geometry, with properties calculated at the PBE level.

Computed properties:
Its symmetry is P4/mbm. The total magnetic moment comes out at 0.000 μB/f.u.

Lattice parameters (Å, degrees): 8.8835 8.8835 3.6378 90.00 90.00 90.00
With the nearest neighbours (Å) after each atom.
Fractional coordinates of all 10 atoms:
Sr 0.0000 0.0000 0.0000  4 La 3.51, 2 Sr 3.64, 8 Ge 3.75
Sr 0.5000 0.5000 0.0000  4 La 3.51, 2 Sr 3.64, 8 Ge 3.75
La 0.1246 0.3754 0.0000  6 Ge 3.12-3.24, 1 La 3.13
La 0.3754 0.8754 0.0000  6 Ge 3.12-3.24, 1 La 3.13
La 0.6246 0.1246 0.0000  6 Ge 3.12-3.24, 1 La 3.13
La 0.8754 0.6246 0.0000  6 Ge 3.12-3.24, 1 La 3.13
Ge 0.1737 0.6737 0.5000  6 La 3.12-3.24
Ge 0.3263 0.1737 0.5000  6 La 3.12-3.24
Ge 0.6737 0.8263 0.5000  6 La 3.12-3.24
Ge 0.8263 0.3263 0.5000  6 La 3.12-3.24

---

In order of decreasing stability: A), B).

---

A) Below is crystalline SrLa2Ge2 at its relaxed geometry, with properties calculated at the PBE level.

Computed properties:
Its symmetry is I4/mmm. The total magnetic moment comes out at 0.697 μB/f.u.

Lattice parameters (Å, degrees): 6.9619 6.9619 6.9619 132.28 132.28 69.79
With the nearest neighbours (Å) after each atom.
Fractional coordinates of all 5 atoms:
Sr 0.0000 0.0000 0.0000  2 La 3.77, 8 Ge 4.01
La 0.3302 0.3302 0.0000  4 Ge 2.96
La 0.6698 0.6698 0.0000  4 Ge 2.96
Ge 0.2500 0.7500 0.5000  4 La 2.96
Ge 0.7500 0.2500 0.5000  4 La 2.96

---

B) Below is crystalline SrLa2Ge2 at its relaxed geometry, with properties calculated at the PBE level.

Computed properties:
Its symmetry is I4/mmm. The total magnetic moment comes out at 0.000 μB/f.u.

Lattice parameters (Å, degrees): 7.4720 7.4720 7.4720 142.55 142.55 54.00
With the nearest neighbours (Å) after each atom.
Fractional coordinates of all 5 atoms:
Sr 0.0000 0.0000 0.0000  8 Ge 3.62
La 0.2500 0.7500 0.5000  4 Ge 3.16, 4 La 3.39
La 0.7500 0.2500 0.5000  4 Ge 3.16, 4 La 3.39
Ge 0.4041 0.4041 0.0000  1 Ge 2.55
Ge 0.5959 0.5959 0.0000  1 Ge 2.55

---

In order of decreasing stability: B), A).

---

A) Below is crystalline LaTa2Ge2 at its relaxed geometry, with properties calculated at the PBE level.

Computed properties:
Its symmetry is P4/mbm. The total magnetic moment comes out at 0.000 μB/f.u.

Lattice parameters (Å, degrees): 8.1868 8.1868 2.9613 90.00 90.00 90.00
With the nearest neighbours (Å) after each atom.
Fractional coordinates of all 10 atoms:
La 0.0000 0.0000 0.0000  2 La 2.96, 4 Ge 3.09
La 0.5000 0.5000 0.0000  2 La 2.96, 4 Ge 3.09
Ta 0.1316 0.3684 0.5000  6 Ge 2.79-2.87, 3 Ta 2.96-3.05
Ta 0.3684 0.8684 0.5000  6 Ge 2.79-2.87, 3 Ta 2.96-3.05
Ta 0.6316 0.1316 0.5000  6 Ge 2.79-2.87, 3 Ta 2.96-3.05
Ta 0.8684 0.6316 0.5000  6 Ge 2.79-2.87, 3 Ta 2.96-3.05
Ge 0.1557 0.6557 0.0000  6 Ta 2.79-2.87, 2 Ge 2.96, 2 La 3.09
Ge 0.3443 0.1557 0.0000  6 Ta 2.79-2.87, 2 Ge 2.96, 2 La 3.09
Ge 0.6557 0.8443 0.0000  6 Ta 2.79-2.87, 2 Ge 2.96, 2 La 3.09
Ge 0.8443 0.3443 0.0000  6 Ta 2.79-2.87, 2 Ge 2.96, 2 La 3.09

---

B) Below is crystalline LaTa2Ge2 at its relaxed geometry, with properties calculated at the PBE level.

Computed properties:
Its symmetry is I4/mmm. The total magnetic moment comes out at 0.000 μB/f.u.

Lattice parameters (Å, degrees): 5.7308 5.7308 5.7308 128.91 128.91 75.16
With the nearest neighbours (Å) after each atom.
Fractional coordinates of all 5 atoms:
La 0.0000 0.0000 0.0000  2 Ta 3.21, 8 Ge 3.36
Ta 0.3536 0.3536 0.0000  4 Ge 2.64, 1 Ta 2.66
Ta 0.6464 0.6464 0.0000  4 Ge 2.64, 1 Ta 2.66
Ge 0.2500 0.7500 0.5000  4 Ta 2.64
Ge 0.7500 0.2500 0.5000  4 Ta 2.64

---

C) Below is crystalline LaTa2Ge2 at its relaxed geometry, with properties calculated at the PBE level.

Computed properties:
Its symmetry is I4/mmm. The total magnetic moment comes out at 0.000 μB/f.u.

Lattice parameters (Å, degrees): 6.7999 6.7999 6.7999 144.70 144.70 50.78
With the nearest neighbours (Å) after each atom.
Fractional coordinates of all 5 atoms:
La 0.0000 0.0000 0.0000  8 Ge 3.20
Ta 0.2500 0.7500 0.5000  4 Ge 2.71, 4 Ta 2.92
Ta 0.7500 0.2500 0.5000  4 Ge 2.71, 4 Ta 2.92
Ge 0.3928 0.3928 0.0000  1 Ge 2.63, 4 Ta 2.71
Ge 0.6072 0.6072 0.0000  1 Ge 2.63, 4 Ta 2.71

---

In order of decreasing stability: C), A), B).

---

A) Below is crystalline LaTa3Ge at its relaxed geometry, with properties calculated at the PBE level.

Computed properties:
Its symmetry is Pm-3m. The total magnetic moment comes out at 0.000 μB/f.u.

Lattice parameters (Å, degrees): 4.9143 4.9143 4.9143 90.00 90.00 90.00
With the nearest neighbours (Å) after each atom.
Fractional coordinates of all 5 atoms:
La 0.0000 0.0000 0.0000  12 Ta 3.47
Ta 0.0000 0.5000 0.5000  2 Ge 2.46
Ta 0.5000 0.0000 0.5000  2 Ge 2.46
Ta 0.5000 0.5000 0.0000  2 Ge 2.46
Ge 0.5000 0.5000 0.5000  6 Ta 2.46

---

B) Below is crystalline LaTa3Ge at its relaxed geometry, with properties calculated at the PBE level.

Computed properties:
Its symmetry is Pm-3m. The total magnetic moment comes out at 0.000 μB/f.u.

Lattice parameters (Å, degrees): 4.9622 4.9622 4.9622 90.00 90.00 90.00
With the nearest neighbours (Å) after each atom.
Fractional coordinates of all 5 atoms:
La 0.0000 0.0000 0.0000  6 Ta 2.48
Ta 0.0000 0.0000 0.5000  2 La 2.48
Ta 0.0000 0.5000 0.0000  2 La 2.48
Ta 0.5000 0.0000 0.0000  2 La 2.48
Ge 0.5000 0.5000 0.5000  12 Ta 3.51

---

In order of decreasing stability: A), B).

---

A) Below is crystalline LaTbGe at its relaxed geometry, with properties calculated at the PBE level.

Computed properties:
Its symmetry is Pmmn. The total magnetic moment comes out at 0.928 μB/f.u.

Lattice parameters (Å, degrees): 4.5146 4.5398 8.3364 90.00 90.00 90.00
With the nearest neighbours (Å) after each atom.
Fractional coordinates of all 6 atoms:
La 0.2500 0.2500 0.1403  5 Ge 3.21-3.32
La 0.7500 0.7500 0.8597  5 Ge 3.21-3.32
Tb 0.2500 0.7500 0.5122  4 Ge 3.04-3.17, 4 Tb 3.21
Tb 0.7500 0.2500 0.4878  4 Ge 3.04-3.17, 4 Tb 3.21
Ge 0.2500 0.2500 0.7549  4 Tb 3.04-3.17, 5 La 3.21-3.32
Ge 0.7500 0.7500 0.2451  4 Tb 3.04-3.17, 5 La 3.21-3.32

---

B) Below is crystalline LaTbGe at its relaxed geometry, with properties calculated at the PBE level.

Computed properties:
Its symmetry is F-43m. The total magnetic moment comes out at 0.000 μB/f.u.

Lattice parameters (Å, degrees): 5.0439 5.0439 5.0439 60.00 60.00 60.00
With the nearest neighbours (Å) after each atom.
Fractional coordinates of all 3 atoms:
La 0.0000 0.0000 0.0000  4 Ge 3.09
Tb 0.5000 0.5000 0.5000  4 Ge 3.09
Ge 0.2500 0.2500 0.2500  4 Tb 3.09, 4 La 3.09

---

In order of decreasing stability: A), B).